# 1
This record from Alexandria via LeMat-Bulk describes an optimized crystal structure of ZnCdSeN2. The functional is GGA-PBE.

Cell lengths 3.973, 3.973, 5.728 Å; angles 90.00, 90.00, 90.00 degrees
Site moments in Bohr magnetons follow the coordinates.
Fractional positions:
N  0.500  0.000  0.000  1.12
N  0.000  0.500  0.000  1.12
Cd  0.500  0.500  0.500  0.00
Se  0.000  0.000  0.500  0.18
Zn  0.000  0.000  0.000  0.04

- formation energy (no corrections) (meV/atom) = 1225
- offset from the most stable computed form (meV per atom) = 0
- electronic total energy (eV per atom) = -3.240
- volume (Å³/cell) = 90.42
- spin magnetization (Bohr magnetons per cell) = 3.6
- SG = P4/mmm

# 2
This record from Alexandria via LeMat-Bulk describes an optimized crystal structure of ZnCdSeN2. The functional is GGA-PBE.

Cell lengths 4.180, 4.180, 6.055 Å; angles 90.00, 90.00, 90.00 degrees
Site moments in Bohr magnetons follow the coordinates.
Fractional positions:
N  0.500  0.000  0.000  1.15
N  0.000  0.500  0.000  1.15
Zn  0.500  0.500  0.500  -0.02
Cd  0.000  0.000  0.000  0.07
Se  0.000  0.000  0.500  0.14

- formation energy (no corrections) (meV/atom) = 1607
- offset from the most stable computed form (meV per atom) = 382
- electronic total energy (eV per atom) = -2.858
- volume (Å³/cell) = 105.81
- spin magnetization (Bohr magnetons per cell) = 3.6
- SG = P4/mmm

# 3
This record from Alexandria via LeMat-Bulk describes an optimized crystal structure of ZrCdSeN2. The functional is GGA-PBE.

Cell lengths 4.134, 4.134, 5.118 Å; angles 90.00, 90.00, 90.00 degrees
Fractional positions:
Zr  0.500  0.500  0.500
N  0.500  0.000  0.000
N  0.000  0.500  0.000
Se  0.000  0.000  0.500
Cd  0.000  0.000  0.000

- formation energy (no corrections) (meV/atom) = 1270
- offset from the most stable computed form (meV per atom) = 1081
- electronic total energy (eV per atom) = -4.650
- volume (Å³/cell) = 87.47
- spin magnetization (Bohr magnetons per cell) = 0.0
- SG = P4/mmm

# 4
This record from Alexandria via LeMat-Bulk describes an optimized crystal structure of ZrCdSeN2. The functional is GGA-PBE.

Cell lengths 4.140, 4.140, 5.781 Å; angles 90.00, 90.00, 90.00 degrees
Site moments in Bohr magnetons follow the coordinates.
Fractional positions:
Cd  0.500  0.500  0.500  0.00
Zr  0.000  0.000  0.000  -0.03
N  0.500  0.000  0.000  0.10
N  0.000  0.500  0.000  0.10
Se  0.000  0.000  0.500  0.00

- formation energy (no corrections) (meV/atom) = 189
- offset from the most stable computed form (meV per atom) = 0
- electronic total energy (eV per atom) = -5.731
- volume (Å³/cell) = 99.10
- spin magnetization (Bohr magnetons per cell) = 0.3
- SG = P4/mmm

# 5
This record from Alexandria via LeMat-Bulk describes an optimized crystal structure of ZrCdSe2N. The functional is GGA-PBE.

Cell lengths 5.151, 5.151, 4.047 Å; angles 90.00, 90.00, 90.00 degrees
Fractional positions:
Cd  0.000  0.000  0.000
Zr  0.500  0.500  0.500
Se  0.000  0.500  0.000
Se  0.500  0.000  0.000
N  0.000  0.000  0.500

- formation energy (no corrections) (meV/atom) = 802
- offset from the most stable computed form (meV per atom) = 971
- electronic total energy (eV per atom) = -4.149
- volume (Å³/cell) = 107.38
- spin magnetization (Bohr magnetons per cell) = 0.0
- SG = P4/mmm

# 6
This record from Alexandria via LeMat-Bulk describes an optimized crystal structure of ZrCdSe2N. The functional is GGA-PBE.

Cell lengths 5.375, 5.375, 4.089 Å; angles 90.00, 90.00, 90.00 degrees
Site moments in Bohr magnetons follow the coordinates.
Fractional positions:
Zr  0.000  0.000  0.000  -0.06
Se  0.500  0.000  0.000  0.12
Se  0.000  0.500  0.000  0.12
Cd  0.500  0.500  0.500  -0.02
N  0.000  0.000  0.500  0.45

- formation energy (no corrections) (meV/atom) = -169
- offset from the most stable computed form (meV per atom) = 0
- electronic total energy (eV per atom) = -5.121
- volume (Å³/cell) = 118.15
- spin magnetization (Bohr magnetons per cell) = 0.9
- SG = P4/mmm